[1]
First-principles (SCAN) data for a crystal of CdFeAg2N relaxed with PBEsol, as listed in the Alexandria database.

abc: 4.596 4.596 3.479
angles: 90.00 90.00 90.00
Sites, in units of the cell vectors:
Cd 0.000 0.000 0.000
Fe 0.500 0.500 0.000
Ag 0.000 0.500 0.500
Ag 0.500 0.000 0.500
N 0.500 0.500 0.500

Properties
E_form (uncorrected) ... 1.824 eV per formula unit
SG ... P4/mmm (123)
Energy ... -118.7 eV for the cell shown
Crystal system ... tetragonal
Calculated volume ... 14.70 Å³ per atom

[2]
First-principles (SCAN) data for a crystal of PtAuBr2 relaxed with PBEsol, as listed in the Alexandria database.

abc: 7.136 7.136 7.136
angles: 153.85 142.71 46.11
Sites, in units of the cell vectors:
Pt 0.000 0.000 0.000
Au 0.500 0.500 0.000
Br 0.153 0.653 0.500
Br 0.847 0.347 0.500

Properties
E_form (uncorrected) ... 1.027 eV per formula unit
SG ... Immm (71)
Energy ... -177.2 eV for the cell shown
Crystal system ... orthorhombic
Calculated volume ... 24.18 Å³ per atom
E above lowest polymorph ... 294 meV per atom

[3]
First-principles (SCAN) data for a crystal of KMnNF2 relaxed with PBEsol, as listed in the Alexandria database.

abc: 4.541 4.541 4.743
angles: 90.00 90.00 90.00
Sites, in units of the cell vectors:
K 0.000 0.000 0.000
Mn 0.500 0.500 0.500
N 0.000 0.000 0.500
F 0.000 0.500 0.000
F 0.500 0.000 0.000

Properties
E_form (uncorrected) ... -0.337 eV per formula unit
SG ... P4/mmm (123)
Energy ... -43.3 eV for the cell shown
Crystal system ... tetragonal
Calculated volume ... 19.56 Å³ per atom

[4]
First-principles (SCAN) data for a crystal of PbW3 relaxed with PBEsol, as listed in the Alexandria database.

abc: 3.040 3.040 8.868
angles: 90.00 90.00 120.00
Sites, in units of the cell vectors:
Pb 0.000 0.000 0.000
W 0.000 0.000 0.500
W 0.333 0.667 0.269
W 0.333 0.667 0.731

Properties
Calculated formation energy ... 0.88 eV/atom
SG ... P-6m2 (187)
Energy ... -281.3 eV for the cell shown
Crystal system ... hexagonal
Calculated volume ... 17.75 Å³ per atom
E above lowest polymorph ... 74 meV per atom

[5]
First-principles (SCAN) data for a crystal of Ba2AlNi relaxed with PBEsol, as listed in the Alexandria database.

abc: 5.287 5.287 5.287
angles: 60.00 60.00 60.00
Sites, in units of the cell vectors:
Ba 0.000 0.000 0.000
Ba 0.250 0.250 0.250
Al 0.500 0.500 0.500
Ni 0.750 0.750 0.750

Properties
Calculated formation energy ... 0.34 eV/atom
SG ... F-43m (216)
Energy ... -101.7 eV for the cell shown
Crystal system ... cubic
Calculated volume ... 26.13 Å³ per atom

[6]
First-principles (SCAN) data for a crystal of NaAl3Co relaxed with PBEsol, as listed in the Alexandria database.

abc: 4.514 4.514 4.514
angles: 90.00 90.00 90.00
Sites, in units of the cell vectors:
Na 0.000 0.000 0.000
Al 0.000 0.500 0.500
Al 0.500 0.000 0.500
Al 0.500 0.500 0.000
Co 0.500 0.500 0.500

Properties
Calculated formation energy ... -0.11 eV/atom
SG ... Pm-3m (221)
Energy ... -45.3 eV for the cell shown
Crystal system ... cubic
Calculated volume ... 18.40 Å³ per atom
E above lowest polymorph ... 0 meV per atom

[7]
First-principles (SCAN) data for a crystal of Y2FeCoRe relaxed with PBEsol, as listed in the Alexandria database.

abc: 4.980 4.980 3.992
angles: 90.00 90.00 90.00
Sites, in units of the cell vectors:
Y 0.000 0.500 0.000
Y 0.500 0.000 0.000
Fe 0.000 0.000 0.500
Co 0.000 0.000 0.000
Re 0.500 0.500 0.500

Properties
Calculated formation energy ... 0.90 eV/atom
SG ... P4/mmm (123)
Energy ... -157.7 eV for the cell shown
Crystal system ... tetragonal
Calculated volume ... 19.80 Å³ per atom

[8]
First-principles (SCAN) data for a crystal of MgTaB3 relaxed with PBEsol, as listed in the Alexandria database.

abc: 4.226 4.226 4.226
angles: 90.00 90.00 90.00
Sites, in units of the cell vectors:
Mg 0.000 0.000 0.000
Ta 0.500 0.500 0.500
B 0.000 0.500 0.500
B 0.500 0.000 0.500
B 0.500 0.500 0.000

Properties
Calculated formation energy ... 1.05 eV/atom
SG ... Pm-3m (221)
Energy ... -88.6 eV for the cell shown
Crystal system ... cubic
Calculated volume ... 15.09 Å³ per atom

[9]
First-principles (SCAN) data for a crystal of MgCrO4 relaxed with PBEsol, as listed in the Alexandria database.

abc: 6.751 6.751 6.752
angles: 100.10 100.10 85.25
Sites, in units of the cell vectors:
Mg 0.180 0.820 0.000
Mg 0.205 0.205 0.364
Mg 0.795 0.795 0.636
Mg 0.820 0.180 0.000
Cr 0.255 0.745 0.500
Cr 0.275 0.275 0.912
Cr 0.725 0.725 0.088
Cr 0.745 0.255 0.500
O 0.111 0.800 0.683
O 0.142 0.142 0.038
O 0.200 0.889 0.317
O 0.214 0.214 0.667
O 0.217 0.512 0.979
O 0.221 0.513 0.396
O 0.487 0.779 0.604
O 0.488 0.783 0.021
O 0.512 0.217 0.979
O 0.513 0.221 0.396
O 0.779 0.487 0.604
O 0.783 0.488 0.021
O 0.786 0.786 0.333
O 0.800 0.111 0.683
O 0.858 0.858 0.962
O 0.889 0.200 0.317

Properties
E_form (uncorrected) ... -13.846 eV per formula unit
SG ... C2/m (12)
Energy ... -248.5 eV for the cell shown
Crystal system ... monoclinic
Calculated volume ... 12.41 Å³ per atom
E above lowest polymorph ... 14 meV per atom

[10]
First-principles (SCAN) data for a crystal of SrLa2Be relaxed with PBEsol, as listed in the Alexandria database.

abc: 6.771 6.771 5.439
angles: 113.67 113.67 32.66
Sites, in units of the cell vectors:
Sr 0.000 0.000 0.000
La 0.601 0.601 0.601
La 0.794 0.794 0.295
Be 0.290 0.290 0.793

Properties
Calculated formation energy ... 0.30 eV/atom
SG ... Cm (8)
Energy ... -111.6 eV for the cell shown
Crystal system ... monoclinic
Calculated volume ... 30.56 Å³ per atom

[11]
First-principles (SCAN) data for a crystal of KSbO3 relaxed with PBEsol, as listed in the Alexandria database.

abc: 7.438 7.438 7.438
angles: 60.00 60.00 60.00
Sites, in units of the cell vectors:
K 0.000 0.000 0.000
K 0.000 0.000 0.500
K 0.000 0.500 0.000
K 0.500 0.000 0.000
Sb 0.000 0.500 0.500
Sb 0.500 0.000 0.500
Sb 0.500 0.500 0.000
Sb 0.500 0.500 0.500
O 0.179 0.179 0.571
O 0.179 0.571 0.179
O 0.179 0.571 0.571
O 0.429 0.429 0.821
O 0.429 0.821 0.429
O 0.429 0.821 0.821
O 0.571 0.179 0.179
O 0.571 0.179 0.571
O 0.571 0.571 0.179
O 0.821 0.429 0.429
O 0.821 0.429 0.821
O 0.821 0.821 0.429

Properties
E_form (uncorrected) ... -8.837 eV per formula unit
SG ... Fd-3m (227)
Energy ... -292.5 eV for the cell shown
Crystal system ... cubic
Calculated volume ... 14.55 Å³ per atom

[12]
First-principles (SCAN) data for a crystal of ZnCoSi relaxed with PBEsol, as listed in the Alexandria database.

abc: 4.547 4.547 4.547
angles: 142.11 142.11 54.66
Sites, in units of the cell vectors:
Zn 0.000 0.000 0.000
Co 0.682 0.682 0.000
Si 0.311 0.311 0.000

Properties
E_form (uncorrected) ... -0.266 eV per formula unit
SG ... I4mm (107)
Energy ... -41.1 eV for the cell shown
Crystal system ... tetragonal
Calculated volume ... 11.73 Å³ per atom

Among the records above, which one has the highest calculated volume? SrLa2Be

Which formula does entry 4 have? PbW3

Copy entry 5 word for word.
First-principles (SCAN) data for a crystal of Ba2AlNi relaxed with PBEsol, as listed in the Alexandria database.

abc: 5.287 5.287 5.287
angles: 60.00 60.00 60.00
Sites, in units of the cell vectors:
Ba 0.000 0.000 0.000
Ba 0.250 0.250 0.250
Al 0.500 0.500 0.500
Ni 0.750 0.750 0.750

Properties
Calculated formation energy ... 0.34 eV/atom
SG ... F-43m (216)
Energy ... -101.7 eV for the cell shown
Crystal system ... cubic
Calculated volume ... 26.13 Å³ per atom

Number 2 is which compound? PtAuBr2